# Er2TaSi2Rh5

An optimized crystal structure of Er2TaSi2Rh5 (PBE-GGA, the Alexandria database).

**DFT total energy**: -155.22 eV per cell
**Symmetry**: P4/mbm, No. 127
**Formation energy from raw total energies**: -0.903 eV/atom
**Crystal system**: tetragonal

Unit cell a=9.6287 b=9.6287 c=3.5579 alpha=90.00 beta=90.00 gamma=90.00
Atoms (fractional coordinates):
Er  0.1742  0.3258  0.0000
Er  0.3258  0.8258  0.0000
Er  0.6742  0.1742  0.0000
Er  0.8258  0.6742  0.0000
Ta  0.0000  0.0000  0.0000
Ta  0.5000  0.5000  0.0000
Si  0.1231  0.6231  0.0000
Si  0.3769  0.1231  0.0000
Si  0.6231  0.8769  0.0000
Si  0.8769  0.3769  0.0000
Rh  0.0000  0.5000  0.5000
Rh  0.0683  0.7910  0.5000
Rh  0.2090  0.0683  0.5000
Rh  0.2910  0.5683  0.5000
Rh  0.4317  0.2910  0.5000
Rh  0.5000  0.0000  0.5000
Rh  0.5683  0.7090  0.5000
Rh  0.7090  0.4317  0.5000
Rh  0.7910  0.9317  0.5000
Rh  0.9317  0.2090  0.5000